Crystalline YGe3Pd2 at its relaxed geometry. Source: Alexandria via LeMat-Bulk, functional PBE-GGA.

Total magnetic moment ... 0.00 Bohr magnetons per cell
SG ... C2/m

abc: 4.3053 7.2172 8.4549
angles: 117.20 104.75 90.00
Closest atoms and distances in Å follow each position.
Positions (direct):
Pd: 0.4914 0.7997 0.9828  4 Ge 2.51-2.61, 1 Pd 2.77
Pd: 0.7882 0.2706 0.5765  7 Ge 2.62-2.73
Pd: 0.5086 0.2003 0.0172  4 Ge 2.51-2.61, 1 Pd 2.77
Ge: 0.9556 0.5960 0.9113  1 Ge 2.44, 3 Pd 2.51-2.63
Ge: 0.6828 0.4723 0.3655  4 Pd 2.58-2.73
Ge: 0.6610 0.8564 0.3220  4 Pd 2.61-2.72
Pd: 0.2118 0.7294 0.4235  7 Ge 2.62-2.73
Ge: 0.0444 0.4039 0.0887  1 Ge 2.44, 3 Pd 2.51-2.63
Ge: 0.3172 0.5277 0.6345  4 Pd 2.58-2.73
Y: 0.1268 0.0972 0.2535  7 Ge 2.98-3.33, 6 Pd 3.11-3.21
Ge: 0.3390 0.1436 0.6780  4 Pd 2.61-2.72
Y: 0.8732 0.9028 0.7465  7 Ge 2.98-3.33, 6 Pd 3.11-3.21

***

Crystalline Y2Ge2Pd at its relaxed geometry. Source: Alexandria via LeMat-Bulk, functional PBE-GGA.

Total magnetic moment ... 0.00 Bohr magnetons per cell
SG ... P4/mbm

abc: 6.8865 6.8865 4.4054
angles: 90.00 90.00 90.00
Closest atoms and distances in Å follow each position.
Positions (direct):
Ge: 0.8641 0.6359 0.0000  1 Ge 2.65, 2 Pd 2.68, 2 Y 2.89
Y: 0.3277 0.1723 0.5000  6 Ge 2.89-3.07
Ge: 0.1359 0.3641 0.0000  1 Ge 2.65, 2 Pd 2.68, 2 Y 2.89
Y: 0.6723 0.8277 0.5000  6 Ge 2.89-3.07
Y: 0.1723 0.6723 0.5000  6 Ge 2.89-3.07
Ge: 0.3641 0.8641 0.0000  1 Ge 2.65, 2 Pd 2.68, 2 Y 2.89
Y: 0.8277 0.3277 0.5000  6 Ge 2.89-3.07
Ge: 0.6359 0.1359 0.0000  1 Ge 2.65, 2 Pd 2.68, 2 Y 2.89
Pd: 0.0000 0.0000 0.0000  4 Ge 2.68
Pd: 0.5000 0.5000 0.0000  4 Ge 2.68

***

Crystalline YGe2Pd3 at its relaxed geometry. Source: Alexandria via LeMat-Bulk, functional PBE-GGA.

Total magnetic moment ... 0.00 Bohr magnetons per cell
SG ... C2/m

abc: 4.0478 8.6283 10.0026
angles: 107.77 90.00 103.57
Closest atoms and distances in Å follow each position.
Positions (direct):
Pd: 0.3190 0.6380 0.0372  4 Ge 2.48-2.59
Ge: 0.1974 0.3948 0.1308  6 Pd 2.50-2.60
Y: 0.8461 0.6922 0.3037  6 Ge 3.09-3.26, 7 Pd 3.18-3.38
Ge: 0.3630 0.7260 0.5454  7 Pd 2.43-2.65
Pd: 0.9597 0.9193 0.6697  4 Ge 2.50-2.65
Pd: 0.3810 0.7619 0.8048  4 Ge 2.52-2.74
Pd: 0.0403 0.0807 0.3303  4 Ge 2.50-2.65
Ge: 0.8026 0.6052 0.8692  6 Pd 2.50-2.60
Pd: 0.7817 0.5633 0.6086  4 Ge 2.43-2.63
Ge: 0.4601 0.9202 0.2163  5 Pd 2.48-2.74
Ge: 0.5399 0.0798 0.7837  5 Pd 2.48-2.74
Pd: 0.5000 0.0000 0.5000  4 Ge 2.48-2.70
Pd: 0.2183 0.4367 0.3914  4 Ge 2.43-2.63
Pd: 0.6810 0.3620 0.9628  4 Ge 2.48-2.59
Y: 0.0000 0.0000 0.0000  6 Pd 3.07-3.16, 6 Ge 3.16-3.18
Y: 0.1539 0.3078 0.6963  6 Ge 3.09-3.26, 7 Pd 3.18-3.38
Ge: 0.6370 0.2740 0.4546  7 Pd 2.43-2.65
Pd: 0.6190 0.2381 0.1952  4 Ge 2.52-2.74

***

Crystalline Y3Ge5Pd12 at its relaxed geometry. Source: Alexandria via LeMat-Bulk, functional PBE-GGA.

Total magnetic moment ... 0.00 Bohr magnetons per cell
SG ... Ia-3d

abc: 13.0811 13.0811 13.0811
angles: 109.47 109.47 109.47
Closest atoms and distances in Å follow each position.
Positions (direct):
Y: 0.1250 0.8750 0.7500  8 Pd 2.80-2.87
Pd: 0.7871 0.3350 0.9140  2 Ge 2.44-2.46
Pd: 0.0860 0.9210 0.3731  2 Ge 2.44-2.46
Ge: 0.0000 0.0000 0.0000  6 Pd 2.44
Pd: 0.6269 0.5790 0.9140  2 Ge 2.44-2.46
Pd: 0.4210 0.3731 0.5860  2 Ge 2.44-2.46
Pd: 0.8350 0.9140 0.2871  2 Ge 2.44-2.46
Ge: 0.0000 0.5000 0.0000  6 Pd 2.44
Y: 0.7500 0.8750 0.6250  8 Pd 2.80-2.87
Y: 0.6250 0.3750 0.7500  8 Pd 2.80-2.87
Pd: 0.0860 0.1650 0.2129  2 Ge 2.44-2.46
Y: 0.2500 0.6250 0.8750  8 Pd 2.80-2.87
Pd: 0.5860 0.8731 0.4210  2 Ge 2.44-2.46
Pd: 0.0479 0.4210 0.8350  2 Ge 2.44-2.46
Pd: 0.7871 0.4521 0.3731  2 Ge 2.44-2.46
Ge: 0.5000 0.0000 0.0000  6 Pd 2.44
Y: 0.3750 0.7500 0.6250  8 Pd 2.80-2.87
Pd: 0.2871 0.8731 0.9521  2 Ge 2.44-2.46
Pd: 0.5479 0.2129 0.1269  2 Ge 2.44-2.46
Pd: 0.4521 0.6650 0.0790  2 Ge 2.44-2.46
Ge: 0.0000 0.0000 0.5000  6 Pd 2.44
Pd: 0.3350 0.7871 0.4140  2 Ge 2.44-2.46
Pd: 0.2129 0.5479 0.6269  2 Ge 2.44-2.46
Y: 0.3750 0.6250 0.2500  8 Pd 2.80-2.87
Pd: 0.0790 0.9140 0.1269  2 Ge 2.44-2.46
Pd: 0.1269 0.7129 0.5479  2 Ge 2.44-2.46
Pd: 0.8731 0.2871 0.4521  2 Ge 2.44-2.46
Pd: 0.4521 0.7871 0.8731  2 Ge 2.44-2.46
Ge: 0.1250 0.3750 0.2500  4 Pd 2.46
Pd: 0.0479 0.6269 0.7129  2 Ge 2.44-2.46
Ge: 0.5000 0.5000 0.0000  6 Pd 2.44
Pd: 0.4140 0.1269 0.5790  2 Ge 2.44-2.46
Pd: 0.3731 0.9521 0.7871  2 Ge 2.44-2.46
Pd: 0.0790 0.1650 0.4521  2 Ge 2.44-2.46
Ge: 0.5000 0.5000 0.5000  6 Pd 2.44
Ge: 0.2500 0.8750 0.1250  4 Pd 2.46
Y: 0.6250 0.2500 0.3750  8 Pd 2.80-2.87
Pd: 0.6650 0.2129 0.5860  2 Ge 2.44-2.46
Pd: 0.2871 0.4140 0.8350  2 Ge 2.44-2.46
Pd: 0.9210 0.0860 0.8731  2 Ge 2.44-2.46
Y: 0.1250 0.2500 0.8750  8 Pd 2.80-2.87
Y: 0.8750 0.1250 0.2500  8 Pd 2.80-2.87
Ge: 0.8750 0.2500 0.6250  4 Pd 2.46
Ge: 0.3750 0.1250 0.7500  4 Pd 2.46
Pd: 0.4210 0.0479 0.3350  2 Ge 2.44-2.46
Pd: 0.9140 0.8350 0.7871  2 Ge 2.44-2.46
Ge: 0.3750 0.2500 0.1250  4 Pd 2.46
Pd: 0.5860 0.7129 0.6650  2 Ge 2.44-2.46
Pd: 0.7129 0.5860 0.1650  2 Ge 2.44-2.46
Pd: 0.8731 0.5860 0.9210  2 Ge 2.44-2.46
Pd: 0.8350 0.9210 0.0479  2 Ge 2.44-2.46
Pd: 0.1650 0.0860 0.7129  2 Ge 2.44-2.46
Pd: 0.2129 0.6650 0.0860  2 Ge 2.44-2.46
Pd: 0.9521 0.3731 0.2871  2 Ge 2.44-2.46
Ge: 0.6250 0.8750 0.2500  4 Pd 2.46
Ge: 0.6250 0.7500 0.8750  4 Pd 2.46
Pd: 0.6269 0.0479 0.2129  2 Ge 2.44-2.46
Pd: 0.7129 0.1269 0.0479  2 Ge 2.44-2.46
Y: 0.7500 0.3750 0.1250  8 Pd 2.80-2.87
Pd: 0.5790 0.9521 0.6650  2 Ge 2.44-2.46
Ge: 0.1250 0.7500 0.3750  4 Pd 2.46
Pd: 0.4140 0.2871 0.3350  2 Ge 2.44-2.46
Ge: 0.2500 0.3750 0.6250  4 Pd 2.46
Ge: 0.0000 0.5000 0.5000  6 Pd 2.44
Ge: 0.7500 0.6250 0.3750  4 Pd 2.46
Pd: 0.1269 0.4140 0.0790  2 Ge 2.44-2.46
Pd: 0.9210 0.8350 0.5479  2 Ge 2.44-2.46
Ge: 0.5000 0.0000 0.5000  6 Pd 2.44
Pd: 0.5790 0.6269 0.4140  2 Ge 2.44-2.46
Pd: 0.5479 0.3350 0.9210  2 Ge 2.44-2.46
Y: 0.2500 0.1250 0.3750  8 Pd 2.80-2.87
Pd: 0.9521 0.5790 0.1650  2 Ge 2.44-2.46
Y: 0.8750 0.7500 0.1250  8 Pd 2.80-2.87
Pd: 0.1650 0.0790 0.9521  2 Ge 2.44-2.46
Pd: 0.3350 0.5479 0.4210  2 Ge 2.44-2.46
Pd: 0.9140 0.0790 0.6269  2 Ge 2.44-2.46
Ge: 0.7500 0.1250 0.8750  4 Pd 2.46
Pd: 0.6650 0.4521 0.5790  2 Ge 2.44-2.46
Pd: 0.3731 0.4210 0.0860  2 Ge 2.44-2.46
Ge: 0.8750 0.6250 0.7500  4 Pd 2.46

***

Crystalline Y3Ge6Pd20 at its relaxed geometry. Source: Alexandria via LeMat-Bulk, functional PBE-GGA.

Total magnetic moment ... 0.00 Bohr magnetons per cell
SG ... Fm-3m

abc: 8.8454 8.8454 8.8454
angles: 60.00 60.00 60.00
Closest atoms and distances in Å follow each position.
Positions (direct):
Pd: 0.3471 0.6529 0.0000  2 Ge 2.47, 1 Pd 2.71
Ge: 0.2684 0.7316 0.7316  8 Pd 2.47-2.53
Pd: 0.6529 0.0000 0.0000  2 Ge 2.47, 1 Pd 2.71
Pd: 0.6529 0.0000 0.3471  2 Ge 2.47, 1 Pd 2.71
Ge: 0.7316 0.7316 0.2684  8 Pd 2.47-2.53
Ge: 0.7316 0.2684 0.2684  8 Pd 2.47-2.53
Ge: 0.7316 0.2684 0.7316  8 Pd 2.47-2.53
Pd: 0.3814 0.8557 0.3814  3 Ge 2.53
Pd: 0.6529 0.3471 0.0000  2 Ge 2.47, 1 Pd 2.71
Pd: 0.0000 0.0000 0.3471  2 Ge 2.47, 1 Pd 2.71
Pd: 0.0000 0.3471 0.0000  2 Ge 2.47, 1 Pd 2.71
Y: 0.0000 0.0000 0.0000  12 Pd 3.07, 6 Ge 3.36
Y: 0.7500 0.7500 0.7500  4 Pd 2.85
Pd: 0.0000 0.6529 0.3471  2 Ge 2.47, 1 Pd 2.71
Pd: 0.3814 0.3814 0.8557  3 Ge 2.53
Pd: 0.3814 0.3814 0.3814  3 Ge 2.53
Pd: 0.6186 0.1443 0.6186  3 Ge 2.53
Pd: 0.3471 0.0000 0.6529  2 Ge 2.47, 1 Pd 2.71
Pd: 0.3471 0.0000 0.0000  2 Ge 2.47, 1 Pd 2.71
Pd: 0.0000 0.6529 0.0000  2 Ge 2.47, 1 Pd 2.71
Ge: 0.2684 0.2684 0.7316  8 Pd 2.47-2.53
Pd: 0.0000 0.0000 0.6529  2 Ge 2.47, 1 Pd 2.71
Y: 0.2500 0.2500 0.2500  4 Pd 2.85
Ge: 0.2684 0.7316 0.2684  8 Pd 2.47-2.53
Pd: 0.6186 0.6186 0.6186  3 Ge 2.53
Pd: 0.1443 0.6186 0.6186  3 Ge 2.53
Pd: 0.0000 0.3471 0.6529  2 Ge 2.47, 1 Pd 2.71
Pd: 0.6186 0.6186 0.1443  3 Ge 2.53
Pd: 0.8557 0.3814 0.3814  3 Ge 2.53

***

Crystalline Y2Ge3Pd at its relaxed geometry. Source: Alexandria via LeMat-Bulk, functional PBE-GGA.

Total magnetic moment ... 0.00 Bohr magnetons per cell
SG ... Cm

abc: 4.3131 5.7771 5.7510
angles: 74.33 67.98 68.08
Closest atoms and distances in Å follow each position.
Positions (direct):
Ge: 0.8638 0.5974 0.6750  1 Pd 2.56, 2 Ge 2.74
Pd: 0.1672 0.3965 0.2690  4 Ge 2.50-2.64
Y: 0.4360 0.8099 0.3181  7 Ge 2.99-3.16, 3 Pd 3.12-3.13
Y: 0.5542 0.1834 0.7081  8 Ge 3.07-3.17, 3 Pd 3.26-3.36
Ge: 0.1550 0.7871 0.9029  1 Pd 2.64, 3 Ge 2.74-2.79
Ge: 0.8237 0.2257 0.1269  2 Pd 2.50, 1 Ge 2.79

***

Crystalline YGe3Pd at its relaxed geometry. Source: Alexandria via LeMat-Bulk, functional PBE-GGA.

Total magnetic moment ... 0.00 Bohr magnetons per cell
SG ... Pm-3m

abc: 4.8813 4.8813 4.8813
angles: 90.00 90.00 90.00
Closest atoms and distances in Å follow each position.
Positions (direct):
Y: 0.5000 0.5000 0.5000  12 Ge 3.45
Ge: 0.0000 0.5000 0.0000  2 Pd 2.44
Ge: 0.0000 0.0000 0.5000  2 Pd 2.44
Pd: 0.0000 0.0000 0.0000  6 Ge 2.44
Ge: 0.5000 0.0000 0.0000  2 Pd 2.44

***

Crystalline Y4GePd3 at its relaxed geometry. Source: Alexandria via LeMat-Bulk, functional PBE-GGA.

Total magnetic moment ... 0.00 Bohr magnetons per cell
SG ... Pmm2

abc: 3.8654 4.4090 10.7546
angles: 90.00 90.00 90.00
Closest atoms and distances in Å follow each position.
Positions (direct):
Y: 0.5000 0.5000 0.3616  6 Pd 2.99-3.08, 1 Ge 3.00
Y: 0.5000 0.0000 0.6387  7 Pd 2.99-3.08
Pd: 0.5000 0.0000 0.9189  2 Ge 2.82, 7 Y 3.00-3.05
Pd: 0.0000 0.5000 0.5847  2 Pd 2.86, 7 Y 2.95-3.08
Y: 0.0000 0.5000 0.8593  5 Pd 2.95-3.00, 2 Ge 3.08
Pd: 0.0000 0.0000 0.4157  2 Pd 2.86, 7 Y 2.98-3.08
Ge: 0.5000 0.5000 0.0828  2 Pd 2.82, 7 Y 2.99-3.08
Y: 0.0000 0.0000 0.1383  3 Pd 2.98-3.05, 4 Ge 2.99

***

Number 1: uncorrected energy -5.689 eV/atom, ΔH_f (0 K) -0.57 eV per atom. Number 2: uncorrected energy -6.373 eV/atom, ΔH_f (0 K) -0.90 eV per atom. Number 3: uncorrected energy -5.998 eV/atom, ΔH_f (0 K) -0.79 eV per atom. Number 4: uncorrected energy -5.530 eV/atom, ΔH_f (0 K) -0.29 eV per atom. Number 5: uncorrected energy -5.874 eV/atom, ΔH_f (0 K) -0.67 eV per atom. Number 6: uncorrected energy -6.093 eV/atom, ΔH_f (0 K) -0.76 eV per atom. Number 7: uncorrected energy -5.091 eV/atom, ΔH_f (0 K) 0.01 eV per atom. Number 8: uncorrected energy -6.650 eV/atom, ΔH_f (0 K) -0.89 eV per atom.